VASP calculation (PBE-GGA) on AcCdNi2H6 after structural relaxation.

The structure in POSCAR format:
```
AcCdNi2H6
1.0
7.020 -1.275 0.886
-2.125 6.811 0.886
-0.545 -0.616 4.469
Ac Cd Ni H
2 2 4 12
direct
0.166 0.834 0.250 Ac
0.834 0.166 0.750 Ac
0.587 0.413 0.250 Cd
0.413 0.587 0.750 Cd
0.347 0.191 0.773 Ni
0.809 0.653 0.727 Ni
0.653 0.809 0.227 Ni
0.191 0.347 0.273 Ni
0.979 0.346 0.214 H
0.654 0.021 0.286 H
0.021 0.654 0.786 H
0.346 0.979 0.714 H
0.166 0.181 0.021 H
0.819 0.834 0.479 H
0.834 0.819 0.979 H
0.181 0.166 0.521 H
0.179 0.508 0.490 H
0.492 0.821 0.010 H
0.821 0.492 0.510 H
0.508 0.179 0.990 H
```


VASP calculation (PBE-GGA) on AcCdPH after structural relaxation.

The structure in POSCAR format:
```
AcCdPH
1.0
-2.236 3.938 -2.022
-1.575 -0.185 -4.699
-4.859 -0.141 -0.983
P Ac H Cd
1 1 1 1
direct
0.500 0.500 0.500 P
0.250 0.250 0.250 Ac
0.000 0.000 0.000 H
0.750 0.750 0.750 Cd
```


VASP calculation (PBE-GGA) on AcCdH6Pd2 after structural relaxation.

The structure in POSCAR format:
```
AcCdH6Pd2
1.0
6.810 -1.199 0.506
-2.024 6.612 0.506
-0.883 -0.998 5.202
Ac Cd H Pd
2 2 12 4
direct
0.161 0.839 0.250 Ac
0.839 0.161 0.750 Ac
0.641 0.359 0.250 Cd
0.359 0.641 0.750 Cd
0.972 0.394 0.240 H
0.606 0.028 0.260 H
0.028 0.606 0.760 H
0.394 0.972 0.740 H
0.176 0.168 0.018 H
0.832 0.824 0.482 H
0.824 0.832 0.982 H
0.168 0.176 0.518 H
0.412 0.661 0.410 H
0.339 0.588 0.090 H
0.588 0.339 0.590 H
0.661 0.412 0.910 H
0.367 0.216 0.780 Pd
0.784 0.633 0.720 Pd
0.633 0.784 0.220 Pd
0.216 0.367 0.280 Pd
```


VASP calculation (PBE-GGA) on AcCdH6Pd4 after structural relaxation.

The structure in POSCAR format:
```
AcCdH6Pd4
1.0
-3.881 -2.919 -0.107
2.594 0.741 -4.039
4.138 -5.562 1.638
Ac Cd H Pd
1 1 6 4
direct
0.000 0.000 0.500 Ac
0.000 0.000 0.000 Cd
0.500 0.500 0.339 H
0.500 0.500 0.661 H
0.500 0.000 0.339 H
0.000 0.500 0.339 H
0.500 0.000 0.661 H
0.000 0.500 0.661 H
0.667 0.333 0.191 Pd
0.333 0.667 0.191 Pd
0.333 0.667 0.809 Pd
0.667 0.333 0.809 Pd
```


VASP calculation (PBE-GGA) on AcCdH4Pd6 after structural relaxation.

The structure in POSCAR format:
```
AcCdH4Pd6
1.0
5.432 0.000 0.000
-2.716 4.705 0.000
0.000 0.000 6.881
Ac Cd H Pd
1 1 4 6
direct
0.000 0.000 0.000 Ac
0.000 0.000 0.500 Cd
0.667 0.333 0.162 H
0.333 0.667 0.162 H
0.333 0.667 0.838 H
0.667 0.333 0.838 H
0.500 0.500 0.294 Pd
0.500 0.500 0.706 Pd
0.500 0.000 0.294 Pd
0.000 0.500 0.294 Pd
0.500 0.000 0.706 Pd
0.000 0.500 0.706 Pd
```


VASP calculation (PBE-GGA) on Ac2CdHPd6 after structural relaxation.

The structure in POSCAR format:
```
Ac2CdHPd6
1.0
5.937 0.022 0.022
-0.029 7.231 0.920
2.937 4.273 5.127
Ac Cd H Pd
2 1 1 6
direct
0.735 0.265 0.528 Ac
0.265 0.735 0.472 Ac
0.000 0.000 0.000 Cd
0.500 0.500 0.000 H
0.276 0.228 0.447 Pd
0.772 0.724 0.951 Pd
0.276 0.724 0.950 Pd
0.724 0.276 0.050 Pd
0.228 0.276 0.049 Pd
0.724 0.772 0.553 Pd
```


VASP calculation (PBE-GGA) on Ac2CdHPt6 after structural relaxation.

The structure in POSCAR format:
```
Ac2CdHPt6
1.0
-2.137 1.022 5.370
2.059 -6.781 2.109
4.358 -2.511 5.419
Ac Cd H Pt
2 1 1 6
direct
0.773 0.227 0.454 Ac
0.227 0.773 0.546 Ac
0.500 0.500 0.000 Cd
0.000 0.000 0.000 H
0.226 0.282 0.547 Pt
0.718 0.774 0.055 Pt
0.226 0.774 0.055 Pt
0.774 0.226 0.945 Pt
0.282 0.226 0.945 Pt
0.774 0.718 0.453 Pt
```


VASP calculation (PBE-GGA) on AcCdH6Pt2 after structural relaxation.

The structure in POSCAR format:
```
AcCdH6Pt2
1.0
6.194 -0.091 -1.350
-0.849 6.136 -1.350
-2.895 -3.274 7.880
Ac Cd H Pt
2 2 12 4
direct
0.085 0.915 0.250 Ac
0.915 0.085 0.750 Ac
0.667 0.333 0.250 Cd
0.333 0.667 0.750 Cd
0.052 0.376 0.329 H
0.624 0.948 0.171 H
0.948 0.624 0.671 H
0.376 0.052 0.829 H
0.203 0.156 0.119 H
0.844 0.797 0.381 H
0.797 0.844 0.881 H
0.156 0.203 0.619 H
0.374 0.800 0.497 H
0.200 0.626 0.003 H
0.626 0.200 0.503 H
0.800 0.374 0.997 H
0.479 0.284 0.804 Pt
0.716 0.521 0.696 Pt
0.521 0.716 0.196 Pt
0.284 0.479 0.304 Pt
```


VASP calculation (PBE-GGA) on AcCdH6Pt3 after structural relaxation.

The structure in POSCAR format:
```
AcCdH6Pt3
1.0
-0.945 -3.674 3.590
4.521 -2.447 -0.921
2.625 3.004 3.372
Ac Cd H Pt
1 1 6 3
direct
0.589 0.411 0.589 Ac
0.991 0.009 0.991 Cd
0.345 0.496 0.085 H
0.504 0.915 0.345 H
0.110 0.284 0.489 H
0.716 0.511 0.110 H
0.489 0.890 0.716 H
0.085 0.655 0.504 H
0.504 0.798 0.036 Pt
0.036 0.496 0.202 Pt
0.202 0.964 0.504 Pt
```


VASP calculation (PBE-GGA) on AcCdH6Rh2 after structural relaxation.

The structure in POSCAR format:
```
AcCdH6Rh2
1.0
-1.546 4.843 3.847
-4.003 -4.512 2.063
5.069 -1.794 2.428
Ac Cd H Rh
2 2 12 4
direct
0.165 0.835 0.250 Ac
0.835 0.165 0.750 Ac
0.636 0.364 0.250 Cd
0.364 0.636 0.750 Cd
0.968 0.439 0.140 H
0.561 0.032 0.360 H
0.032 0.561 0.860 H
0.439 0.968 0.640 H
0.188 0.187 0.077 H
0.813 0.812 0.423 H
0.812 0.813 0.923 H
0.187 0.188 0.577 H
0.322 0.510 0.387 H
0.490 0.678 0.113 H
0.678 0.490 0.613 H
0.510 0.322 0.887 H
0.317 0.089 0.833 Rh
0.911 0.683 0.667 Rh
0.683 0.911 0.167 Rh
0.089 0.317 0.333 Rh
```


VASP calculation (PBE-GGA) on Ac2CdH12Rh3 after structural relaxation.

The structure in POSCAR format:
```
Ac2CdH12Rh3
1.0
-0.926 -5.621 2.529
5.093 -3.374 1.233
1.531 -0.639 6.007
Ac Cd H Rh
2 1 12 3
direct
0.618 0.618 0.618 Ac
0.382 0.382 0.382 Ac
0.000 0.000 0.000 Cd
0.316 0.316 0.886 H
0.885 0.885 0.388 H
0.388 0.885 0.885 H
0.886 0.316 0.316 H
0.885 0.388 0.885 H
0.316 0.886 0.316 H
0.684 0.684 0.114 H
0.115 0.115 0.612 H
0.612 0.115 0.115 H
0.114 0.684 0.684 H
0.115 0.612 0.115 H
0.684 0.114 0.684 H
0.500 0.000 0.000 Rh
0.000 0.500 0.000 Rh
0.000 0.000 0.500 Rh
```


VASP calculation (PBE-GGA) on Ac3CdHRh after structural relaxation.

The structure in POSCAR format:
```
Ac3CdHRh
1.0
4.292 0.000 0.000
0.000 9.392 0.630
0.000 -2.959 9.187
Ac Cd H Rh
6 2 2 2
direct
0.250 0.807 0.469 Ac
0.750 0.875 0.138 Ac
0.750 0.448 0.168 Ac
0.750 0.193 0.531 Ac
0.250 0.552 0.832 Ac
0.250 0.125 0.862 Ac
0.750 0.819 0.755 Cd
0.250 0.181 0.245 Cd
0.250 0.074 0.587 H
0.750 0.926 0.413 H
0.250 0.666 0.157 Rh
0.750 0.334 0.843 Rh
```


| no. | total DFT energy (no corrections) (Ry per atom) |
| --- | --- |
| 1 | -0.287 |
| 2 | -0.279 |
| 3 | -0.279 |
| 4 | -0.305 |
| 5 | -0.327 |
| 6 | -0.366 |
| 7 | -0.406 |
| 8 | -0.299 |
| 9 | -0.310 |
| 10 | -0.313 |
| 11 | -0.309 |
| 12 | -0.327 |